No. 1
! MgH20S2N2O14 (GGA-PBEsol, optimized geometry); values from VASP
! E (eV/cell): -424.60
! D(E_F) (states/eV/cell): 0.000
&SYSTEM
  ibrav = 0, nat = 78, ntyp = 5
/
ATOMIC_SPECIES
Mg 24.30 Mg.upf
H 1.01 H.upf
S 32.06 S.upf
N 14.01 N.upf
O 16.00 O.upf
CELL_PARAMETERS angstrom
6.087 -0.051 0.000
-2.798 8.883 0.000
0.000 0.000 12.760
ATOMIC_POSITIONS crystal
Mg 0.000 0.000 0.000
Mg 0.000 0.500 0.500
H 0.329 0.538 0.357
H 0.671 0.962 0.857
H 0.671 0.462 0.643
H 0.329 0.038 0.143
H 0.343 0.408 0.435
H 0.657 0.092 0.935
H 0.657 0.592 0.565
H 0.343 0.908 0.065
H 0.025 0.363 0.686
H 0.975 0.137 0.186
H 0.975 0.637 0.314
H 0.025 0.863 0.814
H 0.950 0.231 0.602
H 0.050 0.269 0.102
H 0.050 0.769 0.398
H 0.950 0.731 0.898
H 0.106 0.749 0.627
H 0.894 0.751 0.127
H 0.894 0.251 0.373
H 0.106 0.249 0.873
H 0.342 0.716 0.593
H 0.658 0.784 0.093
H 0.658 0.284 0.407
H 0.342 0.216 0.907
H 0.354 0.678 0.938
H 0.646 0.822 0.438
H 0.646 0.322 0.062
H 0.354 0.178 0.562
H 0.521 0.589 0.877
H 0.479 0.911 0.377
H 0.479 0.411 0.123
H 0.521 0.089 0.623
H 0.431 0.718 0.810
H 0.569 0.782 0.310
H 0.569 0.282 0.190
H 0.431 0.218 0.690
H 0.234 0.546 0.844
H 0.766 0.954 0.344
H 0.234 0.046 0.656
H 0.766 0.454 0.156
S 0.755 0.398 0.853
S 0.245 0.102 0.353
S 0.245 0.602 0.147
S 0.755 0.898 0.647
N 0.383 0.633 0.866
N 0.617 0.867 0.366
N 0.617 0.367 0.134
N 0.383 0.133 0.634
O 0.173 0.170 0.897
O 0.696 0.996 0.931
O 0.696 0.496 0.569
O 0.304 0.004 0.069
O 0.037 0.340 0.610
O 0.963 0.160 0.110
O 0.963 0.660 0.390
O 0.037 0.840 0.890
O 0.173 0.670 0.603
O 0.827 0.830 0.103
O 0.827 0.330 0.397
O 0.304 0.504 0.431
O 0.985 0.885 0.679
O 0.015 0.615 0.179
O 0.015 0.115 0.321
O 0.603 0.384 0.760
O 0.640 0.774 0.573
O 0.360 0.726 0.073
O 0.360 0.226 0.427
O 0.640 0.274 0.927
O 0.782 0.045 0.595
O 0.218 0.455 0.095
O 0.218 0.955 0.405
O 0.782 0.545 0.905
O 0.603 0.884 0.740
O 0.397 0.616 0.240
O 0.397 0.116 0.260
O 0.985 0.385 0.821

=====

No. 2
! Mg2ReHN (GGA-PBEsol, optimized geometry); values from VASP
! E (eV/cell): -25.40
! D(E_F) (states/eV/cell): 4.205
&SYSTEM
  ibrav = 0, nat = 5, ntyp = 4
/
ATOMIC_SPECIES
Re 186.21 Re.upf
Mg 24.30 Mg.upf
H 1.01 H.upf
N 14.01 N.upf
CELL_PARAMETERS angstrom
2.650 0.000 0.000
0.000 4.831 0.000
0.000 0.000 4.831
ATOMIC_POSITIONS crystal
Re 0.500 0.500 0.500
Mg 0.000 0.000 0.500
Mg 0.000 0.500 0.000
H 0.500 0.000 0.000
N 0.000 0.000 0.000

=====

No. 3
! MgHS2N (GGA-PBEsol, optimized geometry); values from VASP
! E (eV/cell): -15.22
! D(E_F) (states/eV/cell): 4.427
&SYSTEM
  ibrav = 0, nat = 5, ntyp = 4
/
ATOMIC_SPECIES
H 1.01 H.upf
S 32.06 S.upf
Mg 24.30 Mg.upf
N 14.01 N.upf
CELL_PARAMETERS angstrom
-0.516 2.562 -3.045
0.194 -3.704 -3.149
-4.821 -0.552 0.352
ATOMIC_POSITIONS crystal
H 0.500 0.500 0.500
S 0.000 0.000 0.500
S 0.000 0.500 0.000
Mg 0.000 0.000 0.000
N 0.500 0.000 0.000

=====

No. 4
! MgSiHN2 (GGA-PBEsol, optimized geometry); values from VASP
! E (eV/cell): -22.16
! D(E_F) (states/eV/cell): 2.082
&SYSTEM
  ibrav = 0, nat = 5, ntyp = 4
/
ATOMIC_SPECIES
H 1.01 H.upf
Si 28.09 Si.upf
Mg 24.30 Mg.upf
N 14.01 N.upf
CELL_PARAMETERS angstrom
-0.809 0.780 2.820
-2.593 -2.745 0.016
2.554 -2.405 1.398
ATOMIC_POSITIONS crystal
H 0.000 0.000 0.000
Si 0.500 0.500 0.500
Mg 0.500 0.000 0.000
N 0.000 0.000 0.500
N 0.000 0.500 0.000

=====

No. 5
! NaMgH2 (GGA-PBEsol, optimized geometry); values from VASP
! E (eV/cell): -8.76
! D(E_F) (states/eV/cell): 0.569
&SYSTEM
  ibrav = 0, nat = 4, ntyp = 3
/
ATOMIC_SPECIES
Na 22.99 Na.upf
Mg 24.30 Mg.upf
H 1.01 H.upf
CELL_PARAMETERS angstrom
-1.402 0.995 -3.770
0.438 -2.664 -3.143
-3.318 -1.934 -1.554
ATOMIC_POSITIONS crystal
Na 0.000 0.000 0.000
Mg 0.500 0.500 0.500
H 0.250 0.250 0.250
H 0.750 0.750 0.750

=====

No. 6
! NaMgPH12O11 (GGA-PBEsol, optimized geometry); values from VASP
! E (eV/cell): -280.44
! D(E_F) (states/eV/cell): 12.603
&SYSTEM
  ibrav = 0, nat = 52, ntyp = 5
/
ATOMIC_SPECIES
Na 22.99 Na.upf
Mg 24.30 Mg.upf
P 30.97 P.upf
H 1.01 H.upf
O 16.00 O.upf
CELL_PARAMETERS angstrom
-4.125 -4.362 -2.941
4.687 -4.745 0.463
-3.912 -2.907 9.798
ATOMIC_POSITIONS crystal
Na 0.500 0.500 0.500
Na 0.500 0.500 0.000
Mg 0.500 0.000 0.500
Mg 0.000 0.500 0.000
P 0.000 0.000 0.750
P 0.000 0.000 0.250
H 0.183 0.215 0.572
H 0.817 0.785 0.572
H 0.785 0.183 0.072
H 0.215 0.817 0.072
H 0.817 0.215 0.428
H 0.183 0.785 0.428
H 0.215 0.183 0.928
H 0.785 0.817 0.928
H 0.817 0.785 0.428
H 0.183 0.215 0.428
H 0.215 0.817 0.928
H 0.785 0.183 0.928
H 0.183 0.785 0.572
H 0.817 0.215 0.572
H 0.785 0.817 0.072
H 0.215 0.183 0.072
H 0.379 0.000 0.744
H 0.621 0.000 0.744
H 0.000 0.379 0.244
H 0.000 0.621 0.244
H 0.621 0.000 0.256
H 0.379 0.000 0.256
H 0.000 0.379 0.756
H 0.000 0.621 0.756
O 0.191 0.000 0.831
O 0.809 0.000 0.831
O 0.000 0.191 0.331
O 0.000 0.809 0.331
O 0.809 0.000 0.169
O 0.191 0.000 0.169
O 0.000 0.191 0.669
O 0.000 0.809 0.669
O 0.278 0.225 0.500
O 0.722 0.775 0.500
O 0.775 0.278 0.000
O 0.225 0.722 0.000
O 0.722 0.225 0.500
O 0.278 0.775 0.500
O 0.225 0.278 0.000
O 0.775 0.722 0.000
O 0.500 0.000 0.688
O 0.000 0.500 0.188
O 0.500 0.000 0.312
O 0.000 0.500 0.812
O 0.500 0.500 0.750
O 0.500 0.500 0.250

=====

No. 7
! Na2MgH32S2O24 (GGA-PBEsol, optimized geometry); values from VASP
! E (eV/cell): -320.67
! D(E_F) (states/eV/cell): 0.000
&SYSTEM
  ibrav = 0, nat = 61, ntyp = 5
/
ATOMIC_SPECIES
Na 22.99 Na.upf
Mg 24.30 Mg.upf
S 32.06 S.upf
O 16.00 O.upf
H 1.01 H.upf
CELL_PARAMETERS angstrom
-1.965 0.728 -6.105
-1.980 -5.506 -2.773
-13.854 3.114 2.187
ATOMIC_POSITIONS crystal
Na 0.751 0.051 0.950
Na 0.249 0.949 0.050
Mg 0.000 0.000 0.500
S 0.243 0.392 0.745
S 0.757 0.608 0.255
O 0.303 0.145 0.752
O 0.697 0.855 0.248
O 0.374 0.434 0.656
O 0.626 0.566 0.344
O 0.992 0.512 0.745
O 0.008 0.488 0.255
O 0.302 0.476 0.827
O 0.698 0.524 0.173
O 0.673 0.020 0.555
O 0.327 0.980 0.445
O 0.024 0.056 0.639
O 0.976 0.944 0.361
O 0.873 0.340 0.478
O 0.127 0.660 0.522
O 0.706 0.417 0.884
O 0.294 0.583 0.116
O 0.664 0.740 0.002
O 0.336 0.260 0.998
O 0.840 0.092 0.101
O 0.160 0.908 0.899
O 0.753 0.963 0.783
O 0.247 0.037 0.217
O 0.680 0.627 0.625
O 0.320 0.373 0.375
H 0.709 0.660 0.060
H 0.291 0.340 0.940
H 0.595 0.007 0.769
H 0.405 0.993 0.231
H 0.789 0.411 0.426
H 0.211 0.589 0.574
H 0.796 0.001 0.152
H 0.204 0.999 0.848
H 0.558 0.157 0.589
H 0.442 0.843 0.411
H 0.568 0.439 0.856
H 0.432 0.561 0.144
H 0.675 0.619 0.957
H 0.325 0.381 0.043
H 0.144 0.075 0.667
H 0.856 0.925 0.333
H 0.560 0.568 0.648
H 0.440 0.432 0.352
H 0.802 0.566 0.664
H 0.198 0.434 0.336
H 0.652 0.884 0.583
H 0.348 0.116 0.417
H 0.914 0.032 0.693
H 0.086 0.968 0.307
H 0.820 0.432 0.830
H 0.180 0.568 0.170
H 0.811 0.456 0.532
H 0.189 0.544 0.468
H 0.833 0.797 0.773
H 0.167 0.203 0.227
H 0.793 0.242 0.131
H 0.207 0.758 0.869

=====

No. 8
! Na3Mg5Si8H2O24 (GGA-PBEsol, optimized geometry); values from VASP
! E (eV/cell): -598.97
! D(E_F) (states/eV/cell): 17.745
&SYSTEM
  ibrav = 0, nat = 84, ntyp = 5
/
ATOMIC_SPECIES
Na 22.99 Na.upf
Mg 24.30 Mg.upf
Si 28.09 Si.upf
H 1.01 H.upf
O 16.00 O.upf
CELL_PARAMETERS angstrom
5.285 -0.021 0.000
-2.300 9.616 0.000
0.000 0.000 18.106
ATOMIC_POSITIONS crystal
Na 0.549 0.262 0.750
Na 0.451 0.738 0.250
Na 0.030 0.261 0.521
Na 0.970 0.739 0.479
Na 0.970 0.739 0.021
Na 0.030 0.261 0.979
Mg 0.023 0.251 0.161
Mg 0.977 0.749 0.839
Mg 0.977 0.749 0.661
Mg 0.023 0.251 0.339
Mg 0.522 0.252 0.072
Mg 0.478 0.748 0.928
Mg 0.478 0.748 0.572
Mg 0.522 0.252 0.428
Mg 0.476 0.748 0.750
Mg 0.524 0.252 0.250
Si 0.183 0.467 0.666
Si 0.817 0.533 0.334
Si 0.817 0.533 0.166
Si 0.183 0.467 0.834
Si 0.677 0.458 0.583
Si 0.323 0.542 0.417
Si 0.323 0.542 0.083
Si 0.677 0.458 0.917
Si 0.275 0.036 0.580
Si 0.725 0.964 0.420
Si 0.725 0.964 0.080
Si 0.275 0.036 0.920
Si 0.766 0.027 0.665
Si 0.234 0.973 0.335
Si 0.234 0.973 0.165
Si 0.766 0.027 0.835
H 0.241 0.957 0.750
H 0.759 0.043 0.250
H 0.728 0.543 0.750
H 0.272 0.457 0.250
O 0.375 0.397 0.616
O 0.625 0.603 0.384
O 0.625 0.603 0.116
O 0.375 0.397 0.884
O 0.528 0.095 0.636
O 0.472 0.905 0.364
O 0.472 0.905 0.136
O 0.528 0.095 0.864
O 0.814 0.089 0.750
O 0.186 0.911 0.250
O 0.127 0.595 0.146
O 0.873 0.405 0.854
O 0.873 0.405 0.646
O 0.127 0.595 0.354
O 0.768 0.644 0.750
O 0.232 0.356 0.250
O 0.251 0.374 0.083
O 0.749 0.626 0.917
O 0.749 0.626 0.583
O 0.251 0.374 0.417
O 0.189 0.856 0.750
O 0.811 0.144 0.250
O 0.260 0.635 0.664
O 0.740 0.365 0.336
O 0.740 0.365 0.164
O 0.260 0.635 0.836
O 0.223 0.408 0.750
O 0.777 0.592 0.250
O 0.309 0.140 0.164
O 0.691 0.860 0.836
O 0.691 0.860 0.664
O 0.309 0.140 0.336
O 0.034 0.094 0.620
O 0.966 0.906 0.380
O 0.966 0.906 0.120
O 0.034 0.094 0.880
O 0.291 0.618 0.493
O 0.709 0.382 0.507
O 0.709 0.382 0.993
O 0.291 0.618 0.007
O 0.324 0.115 0.502
O 0.676 0.885 0.498
O 0.676 0.885 0.002
O 0.324 0.115 0.998
O 0.202 0.867 0.581
O 0.798 0.133 0.419
O 0.798 0.133 0.081
O 0.202 0.867 0.919

=====

No. 9
! NaMgZr2H (GGA-PBEsol, optimized geometry); values from VASP
! E (eV/cell): -23.47
! D(E_F) (states/eV/cell): 5.588
&SYSTEM
  ibrav = 0, nat = 5, ntyp = 4
/
ATOMIC_SPECIES
Na 22.99 Na.upf
Mg 24.30 Mg.upf
Zr 91.22 Zr.upf
H 1.01 H.upf
CELL_PARAMETERS angstrom
-3.777 0.965 1.536
-1.646 -0.335 -3.838
-0.987 -5.271 0.884
ATOMIC_POSITIONS crystal
Na 0.500 0.500 0.500
Mg 0.000 0.000 0.500
Zr 0.000 0.500 0.000
Zr 0.500 0.000 0.000
H 0.000 0.000 0.000

=====

No. 10
! MgNb2H (GGA-PBEsol, optimized geometry); values from VASP
! Energy above the most stable polymorph in this dataset (meV per atom): 646
! D(E_F) (states/eV/cell): 3.734
&SYSTEM
  ibrav = 0, nat = 4, ntyp = 3
/
ATOMIC_SPECIES
H 1.01 H.upf
Nb 92.91 Nb.upf
Mg 24.30 Mg.upf
CELL_PARAMETERS angstrom
4.398 0.000 0.000
2.199 3.808 0.000
2.199 1.269 3.591
ATOMIC_POSITIONS crystal
H 0.000 0.000 0.000
Nb 0.250 0.250 0.250
Nb 0.750 0.750 0.750
Mg 0.500 0.500 0.500

=====

No. 11
! MgNb2H (GGA-PBEsol, optimized geometry); values from VASP
! Energy above the most stable polymorph in this dataset (meV per atom): 0
! D(E_F) (states/eV/cell): 5.050
&SYSTEM
  ibrav = 0, nat = 8, ntyp = 3
/
ATOMIC_SPECIES
H 1.01 H.upf
Nb 92.91 Nb.upf
Mg 24.30 Mg.upf
CELL_PARAMETERS angstrom
5.777 0.000 0.000
2.888 5.003 0.000
2.888 1.668 4.717
ATOMIC_POSITIONS crystal
H 0.250 0.250 0.250
H 0.000 0.000 0.000
Nb 0.125 0.125 0.625
Nb 0.125 0.125 0.125
Nb 0.625 0.125 0.125
Nb 0.125 0.625 0.125
Mg 0.750 0.750 0.750
Mg 0.500 0.500 0.500

=====

No. 12
! MgNb3H (GGA-PBEsol, optimized geometry); values from VASP
! E (eV/cell): -37.05
! D(E_F) (states/eV/cell): 5.285
&SYSTEM
  ibrav = 0, nat = 5, ntyp = 3
/
ATOMIC_SPECIES
H 1.01 H.upf
Nb 92.91 Nb.upf
Mg 24.30 Mg.upf
CELL_PARAMETERS angstrom
-3.757 -0.236 -1.862
1.760 -1.892 -3.311
-0.652 -3.742 1.791
ATOMIC_POSITIONS crystal
H 0.000 0.000 0.000
Nb 0.000 0.500 0.000
Nb 0.000 0.000 0.500
Nb 0.500 0.000 0.000
Mg 0.500 0.500 0.500

=====

No. 13
! Mg3NbH (GGA-PBEsol, optimized geometry); values from VASP
! E (eV/cell): -11.17
! D(E_F) (states/eV/cell): 2.492
&SYSTEM
  ibrav = 0, nat = 5, ntyp = 3
/
ATOMIC_SPECIES
H 1.01 H.upf
Nb 92.91 Nb.upf
Mg 24.30 Mg.upf
CELL_PARAMETERS angstrom
5.567 0.000 0.000
0.000 5.567 0.000
0.000 0.000 5.567
ATOMIC_POSITIONS crystal
H 0.500 0.500 0.500
Nb 0.000 0.000 0.000
Mg 0.000 0.500 0.000
Mg 0.000 0.000 0.500
Mg 0.500 0.000 0.000

=====

No. 14
! Mg3NiH (GGA-PBEsol, optimized geometry); values from VASP
! Energy above the most stable polymorph in this dataset (meV per atom): 0
! D(E_F) (states/eV/cell): 1.249
&SYSTEM
  ibrav = 0, nat = 5, ntyp = 3
/
ATOMIC_SPECIES
Ni 58.69 Ni.upf
Mg 24.30 Mg.upf
H 1.01 H.upf
CELL_PARAMETERS angstrom
-3.448 1.347 1.780
-2.225 -1.821 -2.933
-0.173 -3.427 2.258
ATOMIC_POSITIONS crystal
Ni 0.500 0.500 0.500
Mg 0.000 0.500 0.000
Mg 0.000 0.000 0.500
Mg 0.500 0.000 0.000
H 0.000 0.000 0.000